Entry from Alexandria via LeMat-Bulk: an optimized crystal structure of Pr2Re3N8 (PBE).

Output
- final energy (eV per atom) = -9.034
- crystal system = monoclinic
- ΔE_f (raw) (kJ/mol of formula units) = -380
- total magnetic moment (μB per cell) = 0.00

a b c (Å): 11.9880 6.3952 5.0924
angles (deg): 90.00 111.87 90.00
Last column: nearest neighbours and their distance in Å.
Space group C2/m (No. 12)
Symmetry-distinct sites (fractional):
Pr: 0.2360 0.0000 0.1595 x4  6 N 2.40-2.53
Re: 0.0000 0.2031 0.5000 x4  4 N 1.96
Re: 0.0000 0.5000 0.0000 x2  6 N 1.92-2.06
N: 0.0973 0.5000 0.3963 x4  1 Re 1.92
N: 0.0990 0.2772 0.8920 x8  2 Re 1.96-2.06
N: 0.1118 0.0000 0.4468 x4  2 Re 1.96